Record 1
Below is a relaxed structure of TlFe2Os, with properties calculated at the PBE-GGA level.

a = 6.3287 Å, b = 4.5665 Å, c = 3.0037 Å
α = 89.99°, β = 61.69°, γ = 122.52°
Positions (direct):
Fe1 0.0000 0.0000 0.0000
Fe2 0.5000 0.0000 0.5000
Os1 0.0000 0.5000 0.5000
Tl1 0.5000 0.5000 0.0000

Output
ΔE to the lowest computed polymorph (meV/atom): 110.4
V (Å³ per atom): 15.13
ΔH_f (0 K) (eV per atom): 0.63

***

Record 2
Below is a relaxed structure of CaScNiRh2, with properties calculated at the PBE-GGA level.

a = 4.7416 Å, b = 4.5897 Å, c = 4.7416 Å
α = 90.00°, β = 90.00°, γ = 90.00°
Positions (direct):
Sc1 0.0000 0.0000 0.0000
Ni1 0.0000 0.5000 0.0000
Ca1 0.5000 0.5000 0.5000
Rh1 0.0000 0.0000 0.5000
Rh2 0.5000 0.0000 0.0000

Output
ΔE to the lowest computed polymorph (meV/atom): 0.0
V (Å³ per atom): 20.64
ΔH_f (0 K) (eV per atom): 0.19

***

Record 3
Below is a relaxed structure of MnCr2Ru, with properties calculated at the PBE-GGA level.

a = 4.8487 Å, b = 4.7972 Å, c = 2.5607 Å
α = 80.16°, β = 79.06°, γ = 117.05°
Positions (direct):
Cr1 0.0000 0.0000 0.0000
Cr2 0.5000 0.0000 0.5000
Mn1 0.0000 0.5000 0.5000
Ru1 0.5000 0.5000 0.0000

Output
ΔE to the lowest computed polymorph (meV/atom): 105.9
V (Å³ per atom): 12.45
ΔH_f (0 K) (eV per atom): 0.17